[1]
Below is CrInBrO4 after structural relaxation, with properties calculated at the PBE with a Hubbard U level.

Cell and atoms, written as POSCAR:
```
CrInBrO4
1.0
-1.4308 -3.3519 4.4707
1.2882 -5.3716 -1.6600
7.6150 -3.7634 4.6172
O Br In Cr
8 2 2 2
Cartesian
2.3761 -4.2273 0.9166
3.4496 -8.6200 4.3698
5.0963 -8.2595 6.5114
4.0228 -3.8669 3.0581
1.3363 -3.4550 3.2609
2.3464 -5.9936 3.0153
6.1360 -9.0319 4.1671
5.1259 -6.4933 4.4127
0.4295 -1.6161 0.7229
7.0429 -10.8707 6.7050
1.6171 -8.0183 3.3588
5.8553 -4.4686 4.0691
2.5215 -4.4005 2.5681
4.9508 -8.0863 4.8598
```

Output
Electronic total energy   -0.4190 Ry per atom
Crystal system   monoclinic
Total moment   0.0 μB per formula unit
Space group   C2/m

[2]
Below is CrIn2BrO after structural relaxation, with properties calculated at the PBE with a Hubbard U level.

Cell and atoms, written as POSCAR:
```
CrIn2BrO
1.0
5.8122 0.0000 0.0000
0.0000 3.7110 0.0000
0.0000 0.0000 5.8122
Br O Cr In
1 1 1 2
Cartesian
2.9061 1.8555 2.9061
0.0000 1.8555 0.0000
0.0000 0.0000 0.0000
0.0000 0.0000 2.9061
2.9061 0.0000 0.0000
```

Output
Electronic total energy   -0.3224 Ry per atom
Crystal system   tetragonal
Total moment   3.7 μB per formula unit
Space group   P4/mmm